Record 1
Compound: LaCrPt4
Source: Alexandria via LeMat-Bulk
Functional: PBE-GGA
Structure: relaxed

## Properties
- calculated density (g/cm3) = 14.3
- Fermi-level density of states (states/eV per cell) = 6.37
- E_form (eV per atom) = -0.593
- space group = F-43m (216)
- VASP energy (eV for the cell shown) = -42.270

Geometry as extended XYZ:
```
6
Lattice="0.000 3.833 3.833 3.833 0.000 3.833 3.833 3.833 0.000" Properties=species:S:1:pos:R:3 pbc="T T T"
La 0.000 0.000 0.000
Pt 2.881 2.881 2.881
Pt 4.786 2.881 4.786
Pt 4.786 4.786 2.881
Pt 2.881 4.786 4.786
Cr 5.750 5.750 5.750
```

=====

Record 2
Compound: VAs2WBr
Source: Alexandria via LeMat-Bulk
Functional: PBE-GGA
Structure: relaxed

## Properties
- calculated density (g/cm3) = 6.1
- Fermi-level density of states (states/eV per cell) = 5.29
- space group = P4/mmm (123)
- relative energy among the computed polymorphs (kJ/mol of atoms) = 0.0
- uncorrected formation energy (eV/atom) = 0.87
- VASP energy (eV for the cell shown) = -28.704

Geometry as extended XYZ:
```
5
Lattice="-3.953 -2.709 -0.617 2.773 -3.912 -0.590 -0.189 -0.936 5.318" Properties=species:S:1:pos:R:3 pbc="T T T"
As 1.387 -1.956 -0.295
As -1.976 -1.354 -0.309
V -0.685 -3.778 2.055
Br -0.095 -0.468 2.659
W 0.000 0.000 0.000
```